The following is a DFT calculation (PBE) of crystalline TaHg2As at its relaxed geometry.

The structure in POSCAR format:
```
TaHg2As
1.0
-2.109 2.109 4.444
2.109 -2.109 4.444
2.109 2.109 -4.444
Ta Hg As
1 2 1
direct
0.000 0.000 0.000
0.500 0.500 0.000
0.750 0.250 0.500
0.250 0.750 0.500
```

## Properties
* energy relative to the elements: 0.434 eV per atom
* DOS(E_F): 1.09 states/eV per cell
* SG: No. 119


The following is a DFT calculation (PBE) of crystalline UHgS2 at its relaxed geometry.

The structure in POSCAR format:
```
UHgS2
1.0
1.767 -13.942 0.000
1.767 13.942 0.000
0.000 0.000 4.177
U Hg S
2 2 4
direct
0.189 0.811 0.750
0.811 0.189 0.250
0.460 0.540 0.750
0.540 0.460 0.250
0.289 0.711 0.750
0.381 0.619 0.250
0.619 0.381 0.750
0.711 0.289 0.250
```

## Properties
* energy relative to the elements, uncorrected: -3.67 eV per formula unit
* DOS(E_F): 8.29 states/eV per cell
* E above lowest polymorph: 0.31 eV per formula unit
* SG: No. 63


The following is a DFT calculation (PBE) of crystalline ScMn at its relaxed geometry.

The structure in POSCAR format:
```
ScMn
1.0
-3.825 3.825 3.825
3.825 -3.825 3.825
3.825 3.825 -3.825
Sc Mn
4 4
direct
0.000 0.000 0.570
0.000 0.570 0.000
0.430 0.430 0.430
0.570 0.000 0.000
0.000 0.000 0.217
0.000 0.217 0.000
0.217 0.000 0.000
0.783 0.783 0.783
```

## Properties
* energy relative to the elements: 1.066 eV per atom
* DOS(E_F): 8.42 states/eV per cell
* SG: No. 217


The following is a DFT calculation (PBE) of crystalline CdPb2F at its relaxed geometry.

The structure in POSCAR format:
```
CdPb2F
1.0
0.000 3.609 3.609
3.609 0.000 3.609
3.609 3.609 0.000
Cd Pb F
1 2 1
direct
0.000 0.000 0.000
0.250 0.250 0.250
0.750 0.750 0.750
0.500 0.500 0.500
```

## Properties
* energy relative to the elements, uncorrected: -2.20 eV per formula unit
* DOS(E_F): 3.81 states/eV per cell
* SG: No. 225


The following is a DFT calculation (PBE) of crystalline Ta2ReSb at its relaxed geometry.

The structure in POSCAR format:
```
Ta2ReSb
1.0
1.693 -2.456 0.000
1.693 2.456 0.000
0.000 0.000 8.897
Ta Re Sb
2 1 1
direct
0.000 0.000 0.000
0.500 0.500 0.255
0.500 0.500 0.772
0.000 0.000 0.515
```

## Properties
* energy relative to the elements, uncorrected: 1.18 eV per formula unit
* DOS(E_F): 2.99 states/eV per cell
* SG: No. 35


The following is a DFT calculation (PBE) of crystalline Ca2ZrTeO6 at its relaxed geometry.

The structure in POSCAR format:
```
Ca2ZrTeO6
1.0
5.846 0.000 0.000
0.000 5.846 0.000
0.000 0.000 4.682
Ca Zr Te O
2 1 1 6
direct
0.000 0.500 0.000
0.500 0.000 0.000
0.000 0.000 0.615
0.500 0.500 0.642
0.000 0.000 0.199
0.244 0.244 0.738
0.244 0.756 0.738
0.500 0.500 0.233
0.756 0.244 0.738
0.756 0.756 0.738
```

## Properties
* energy relative to the elements, uncorrected: -23.79 eV per formula unit
* DOS(E_F): 0.00 states/eV per cell
* SG: No. 99


The following is a DFT calculation (PBE) of crystalline BeFe2As at its relaxed geometry.

The structure in POSCAR format:
```
BeFe2As
1.0
3.851 0.000 0.000
0.000 3.851 0.000
0.000 0.000 2.824
Be Fe As
1 2 1
direct
0.000 0.000 0.000
0.000 0.500 0.500
0.500 0.000 0.500
0.500 0.500 0.000
```

## Properties
* energy relative to the elements: -0.035 eV per atom
* DOS(E_F): 3.49 states/eV per cell
* E above lowest polymorph: 0.33 eV per formula unit
* SG: No. 123


The following is a DFT calculation (PBE) of crystalline U8Re3Tc at its relaxed geometry.

The structure in POSCAR format:
```
U8Re3Tc
1.0
5.708 0.000 0.000
-2.854 4.943 0.000
0.000 0.000 8.063
U Re Tc
8 3 1
direct
0.000 0.000 0.000
0.000 0.000 0.498
0.181 0.362 0.248
0.181 0.819 0.248
0.362 0.181 0.749
0.638 0.819 0.248
0.819 0.181 0.749
0.819 0.638 0.749
0.333 0.667 0.559
0.333 0.667 0.937
0.667 0.333 0.438
0.667 0.333 0.055
```

## Properties
* energy relative to the elements: 0.358 eV per atom
* DOS(E_F): 17.64 states/eV per cell
* SG: No. 156


The following is a DFT calculation (PBE) of crystalline CaTlIn3 at its relaxed geometry.

The structure in POSCAR format:
```
CaTlIn3
1.0
4.788 -5.675 0.000
4.788 5.675 0.000
0.000 0.000 5.854
Ca Tl In
2 2 6
direct
0.237 0.763 0.750
0.763 0.237 0.250
0.060 0.940 0.250
0.940 0.060 0.750
0.132 0.518 0.250
0.482 0.868 0.250
0.500 0.500 0.000
0.500 0.500 0.500
0.518 0.132 0.750
0.868 0.482 0.750
```

## Properties
* energy relative to the elements: -0.058 eV per atom
* DOS(E_F): 4.55 states/eV per cell
* E above lowest polymorph: 0.00 eV per formula unit
* SG: No. 63


The following is a DFT calculation (PBE) of crystalline K2RePt at its relaxed geometry.

The structure in POSCAR format:
```
K2RePt
1.0
1.508 -2.365 0.000
1.508 2.365 0.000
0.000 0.000 11.397
K Re Pt
2 1 1
direct
0.000 0.000 0.241
0.000 0.000 0.759
0.500 0.500 0.500
0.500 0.500 0.000
```

## Properties
* energy relative to the elements: 0.868 eV per atom
* DOS(E_F): 2.23 states/eV per cell
* E above lowest polymorph: 1.49 eV per formula unit
* SG: No. 65


The following is a DFT calculation (PBE) of crystalline NdHgAu at its relaxed geometry.

The structure in POSCAR format:
```
NdHgAu
1.0
0.000 3.468 3.468
3.468 0.000 3.468
3.468 3.468 0.000
Nd Hg Au
1 1 1
direct
0.000 0.000 0.000
0.500 0.500 0.500
0.750 0.750 0.750
```

## Properties
* energy relative to the elements: -0.521 eV per atom
* DOS(E_F): 4.15 states/eV per cell
* SG: No. 216


The following is a DFT calculation (PBE) of crystalline TbTh2Ni at its relaxed geometry.

The structure in POSCAR format:
```
TbTh2Ni
1.0
1.806 1.043 10.314
-1.806 1.043 10.314
0.000 -2.085 10.314
Tb Th Ni
1 2 1
direct
0.000 0.000 0.000
0.107 0.107 0.107
0.893 0.893 0.893
0.500 0.500 0.500
```

## Properties
* energy relative to the elements: 0.156 eV per atom
* DOS(E_F): 7.25 states/eV per cell
* E above lowest polymorph: 1.49 eV per formula unit
* SG: No. 166


The following is a DFT calculation (PBE) of crystalline Ba2FeSiTe at its relaxed geometry.

The structure in POSCAR format:
```
Ba2FeSiTe
1.0
5.962 0.000 0.000
0.000 5.962 0.000
0.000 0.000 4.443
Ba Fe Si Te
2 1 1 1
direct
0.000 0.500 0.000
0.500 0.000 0.000
0.000 0.000 0.000
0.000 0.000 0.500
0.500 0.500 0.500
```

## Properties
* energy relative to the elements, uncorrected: -2.15 eV per formula unit
* DOS(E_F): 3.38 states/eV per cell
* SG: No. 123


The following is a DFT calculation (PBE) of crystalline V2Co2Re at its relaxed geometry.

The structure in POSCAR format:
```
V2Co2Re
1.0
6.811 0.000 0.000
0.000 6.811 0.000
0.000 0.000 2.687
V Co Re
4 4 2
direct
0.171 0.329 0.000
0.329 0.829 0.000
0.671 0.171 0.000
0.829 0.671 0.000
0.127 0.627 0.500
0.373 0.127 0.500
0.627 0.873 0.500
0.873 0.373 0.500
0.000 0.000 0.500
0.500 0.500 0.500
```

## Properties
* energy relative to the elements: -0.054 eV per atom
* DOS(E_F): 12.53 states/eV per cell
* E above lowest polymorph: 0.00 eV per formula unit
* SG: No. 127


The following is a DFT calculation (PBE) of crystalline Tm3ZrIr4 at its relaxed geometry.

The structure in POSCAR format:
```
Tm3ZrIr4
1.0
3.235 0.000 0.000
0.000 4.850 0.000
0.000 0.000 9.711
Tm Zr Ir
3 1 4
direct
0.000 0.000 0.000
0.000 0.500 0.249
0.000 0.500 0.751
0.000 0.000 0.500
0.500 0.000 0.263
0.500 0.000 0.737
0.500 0.500 0.000
0.500 0.500 0.500
```

## Properties
* energy relative to the elements: -0.892 eV per atom
* DOS(E_F): 2.41 states/eV per cell
* SG: No. 47


The following is a DFT calculation (PBE) of crystalline InBiS3 at its relaxed geometry.

The structure in POSCAR format:
```
InBiS3
1.0
5.248 0.000 0.000
0.000 5.248 0.000
0.000 0.000 5.248
In Bi S
1 1 3
direct
0.000 0.000 0.000
0.500 0.500 0.500
0.000 0.500 0.500
0.500 0.000 0.500
0.500 0.500 0.000
```

## Properties
* energy relative to the elements, uncorrected: 1.32 eV per formula unit
* DOS(E_F): 7.11 states/eV per cell
* SG: No. 221


The following is a DFT calculation (PBE) of crystalline ScFeSi2 at its relaxed geometry.

The structure in POSCAR format:
```
ScFeSi2
1.0
3.877 0.000 0.000
0.000 1.559 4.878
0.000 -1.559 4.878
Sc Fe Si
1 1 2
direct
0.000 0.000 0.000
0.500 0.279 0.279
0.000 0.737 0.737
0.500 0.591 0.591
```

## Properties
* energy relative to the elements, uncorrected: -1.22 eV per formula unit
* DOS(E_F): 2.27 states/eV per cell
* SG: No. 38


The following is a DFT calculation (PBE) of crystalline TiSbTe2Ir at its relaxed geometry.

The structure in POSCAR format:
```
TiSbTe2Ir
1.0
5.418 0.000 0.000
0.000 5.418 0.000
0.000 0.000 4.911
Ti Sb Te Ir
1 1 2 1
direct
0.000 0.000 0.000
0.500 0.500 0.000
0.000 0.500 0.500
0.500 0.000 0.500
0.500 0.500 0.500
```

## Properties
* energy relative to the elements, uncorrected: 3.07 eV per formula unit
* DOS(E_F): 4.42 states/eV per cell
* E above lowest polymorph: 0.00 eV per formula unit
* SG: No. 123


The following is a DFT calculation (PBE) of crystalline Tb4CuAg2 at its relaxed geometry.

The structure in POSCAR format:
```
Tb4CuAg2
1.0
2.528 1.459 8.279
-2.528 1.459 8.279
0.000 -2.919 8.279
Tb Cu Ag
4 1 2
direct
0.124 0.124 0.124
0.374 0.374 0.374
0.626 0.626 0.626
0.876 0.876 0.876
0.000 0.000 0.000
0.249 0.249 0.249
0.751 0.751 0.751
```

## Properties
* energy relative to the elements: -0.128 eV per atom
* DOS(E_F): 5.82 states/eV per cell
* SG: No. 166


The following is a DFT calculation (PBE) of crystalline MnGaFe6 at its relaxed geometry.

The structure in POSCAR format:
```
MnGaFe6
1.0
5.131 0.000 0.000
-2.565 4.444 0.000
0.000 0.000 4.115
Mn Ga Fe
1 1 6
direct
0.000 0.000 0.000
0.333 0.667 0.500
0.344 0.172 0.500
0.507 0.014 0.000
0.507 0.493 0.000
0.828 0.172 0.500
0.828 0.656 0.500
0.986 0.493 0.000
```

## Properties
* energy relative to the elements: -0.009 eV per atom
* DOS(E_F): 8.85 states/eV per cell
* SG: No. 187


The following is a DFT calculation (PBE) of crystalline TlCu2AsI8 at its relaxed geometry.

The structure in POSCAR format:
```
TlCu2AsI8
1.0
5.885 -4.169 0.000
5.885 4.169 0.000
-0.207 0.000 9.033
Tl Cu As I
1 2 1 8
direct
0.000 0.000 0.000
0.345 0.345 0.265
0.655 0.655 0.735
0.000 0.000 0.500
0.244 0.244 0.511
0.254 0.740 0.274
0.257 0.257 0.008
0.260 0.746 0.726
0.740 0.254 0.274
0.743 0.743 0.992
0.746 0.260 0.726
0.756 0.756 0.489
```

## Properties
* energy relative to the elements, uncorrected: -1.85 eV per formula unit
* DOS(E_F): 5.10 states/eV per cell
* SG: No. 12


The following is a DFT calculation (PBE) of crystalline Si2OsPb at its relaxed geometry.

The structure in POSCAR format:
```
Si2OsPb
1.0
1.567 0.905 8.643
-1.567 0.905 8.643
0.000 -1.810 8.643
Si Os Pb
2 1 1
direct
0.000 0.000 0.000
0.262 0.262 0.262
0.729 0.729 0.729
0.489 0.489 0.489
```

## Properties
* energy relative to the elements, uncorrected: 1.98 eV per formula unit
* DOS(E_F): 4.02 states/eV per cell
* SG: No. 160


The following is a DFT calculation (PBE) of crystalline LaSbIr2 at its relaxed geometry.

The structure in POSCAR format:
```
LaSbIr2
1.0
-2.060 2.060 4.851
2.060 -2.060 4.851
2.060 2.060 -4.851
La Sb Ir
1 1 2
direct
0.000 0.000 0.000
0.250 0.750 0.500
0.500 0.500 0.000
0.750 0.250 0.500
```

## Properties
* energy relative to the elements, uncorrected: -0.74 eV per formula unit
* DOS(E_F): 2.63 states/eV per cell
* SG: No. 119


The following is a DFT calculation (PBE) of crystalline Hf2ZrB2Ru5 at its relaxed geometry.

The structure in POSCAR format:
```
Hf2ZrB2Ru5
1.0
9.545 0.000 0.000
0.000 9.545 0.000
0.000 0.000 3.125
Hf Zr B Ru
4 2 4 10
direct
0.175 0.325 0.000
0.325 0.825 0.000
0.675 0.175 0.000
0.825 0.675 0.000
0.000 0.000 0.000
0.500 0.500 0.000
0.121 0.621 0.000
0.379 0.121 0.000
0.621 0.879 0.000
0.879 0.379 0.000
0.000 0.500 0.500
0.072 0.779 0.500
0.221 0.072 0.500
0.279 0.572 0.500
0.428 0.279 0.500
0.500 0.000 0.500
0.572 0.721 0.500
0.721 0.428 0.500
0.779 0.928 0.500
0.928 0.221 0.500
```

## Properties
* energy relative to the elements: -0.647 eV per atom
* DOS(E_F): 14.01 states/eV per cell
* SG: No. 127


The following is a DFT calculation (PBE) of crystalline ScPt2Cl at its relaxed geometry.

The structure in POSCAR format:
```
ScPt2Cl
1.0
2.599 -4.575 0.000
2.599 4.575 0.000
0.000 0.000 3.069
Sc Pt Cl
1 2 1
direct
0.000 0.000 0.000
0.000 0.500 0.500
0.500 0.000 0.500
0.500 0.500 0.000
```

## Properties
* energy relative to the elements, uncorrected: -1.02 eV per formula unit
* DOS(E_F): 6.70 states/eV per cell
* E above lowest polymorph: 2.30 eV per formula unit
* SG: No. 65


The following is a DFT calculation (PBE) of crystalline Pr2DyCd at its relaxed geometry.

The structure in POSCAR format:
```
Pr2DyCd
1.0
3.741 0.000 0.000
0.000 3.741 0.000
0.000 0.000 9.063
Pr Dy Cd
2 1 1
direct
0.000 0.000 0.228
0.000 0.000 0.772
0.500 0.500 0.500
0.500 0.500 0.000
```

## Properties
* energy relative to the elements: -0.135 eV per atom
* DOS(E_F): 4.83 states/eV per cell
* E above lowest polymorph: 0.05 eV per formula unit
* SG: No. 123